(1)
The following is a DFT calculation (PBE) of crystalline Tl6Hg3As at its relaxed geometry.

Cell and atoms, written as CIF:
```
data_Tl6Hg3As
_chemical_formula_sum 'Tl12 Hg6 As2'
_cell_length_a 11.9024
_cell_length_b 4.2837
_cell_length_c 12.0147
_cell_angle_alpha 90.00
_cell_angle_beta 97.41
_cell_angle_gamma 90.00
_symmetry_space_group_name_H-M 'P 1 21/m 1'
_symmetry_Int_Tables_number 11
loop_
_symmetry_equiv_pos_as_xyz
'x,y,z'
'-x,-y,-z'
'-x,y+1/2,-z'
'x,-y+1/2,z'
loop_
_atom_site_label
_atom_site_fract_x
_atom_site_fract_y
_atom_site_fract_z
Tl1 0.0672 0.2500 0.3975
Tl2 0.1412 0.7500 0.1890
Tl3 0.2697 0.2500 0.0120
Tl4 0.3487 0.2500 0.3260
Tl5 0.4128 0.7500 0.8576
Tl6 0.4249 0.2500 0.6083
Hg1 0.0585 0.7500 0.9103
Hg2 0.1480 0.2500 0.7358
Hg3 0.2169 0.7500 0.5604
As1 0.4067 0.7500 0.1571
```

=====

(2)
# TlHgAs2 | the Alexandria database | PBE | relaxed
data_TlHgAs2
_chemical_formula_sum 'Tl1 Hg1 As2'
_cell_length_a 3.1398
_cell_length_b 4.8114
_cell_length_c 6.7465
_cell_angle_alpha 90.00
_cell_angle_beta 95.77
_cell_angle_gamma 90.00
_symmetry_space_group_name_H-M 'P 1 2/m 1'
_symmetry_Int_Tables_number 10
loop_
_symmetry_equiv_pos_as_xyz
'x,y,z'
'-x,-y,-z'
'-x,y,-z'
'x,-y,z'
loop_
_atom_site_label
_atom_site_fract_x
_atom_site_fract_y
_atom_site_fract_z
Tl1 0.0000 0.0000 0.0000
Hg1 0.0000 0.0000 0.5000
As1 0.4712 0.5000 0.6869
# - Polymorph energy (0 for the lowest one): 240.0 meV/atom

=====

(3)
# TlHgAs2 | the Alexandria database | PBE | relaxed
data_TlHgAs2
_chemical_formula_sum 'Tl4 Hg4 As8'
_cell_length_a 7.2191
_cell_length_b 7.2191
_cell_length_c 7.2191
_cell_angle_alpha 90.00
_cell_angle_beta 90.00
_cell_angle_gamma 90.00
_symmetry_space_group_name_H-M 'F m -3 m'
_symmetry_Int_Tables_number 225
_symmetry_space_group_name_Hall '-F 4 2 3'
loop_
_atom_site_label
_atom_site_fract_x
_atom_site_fract_y
_atom_site_fract_z
Tl1 0.0000 0.0000 0.0000
Hg1 0.0000 0.0000 0.5000
As1 0.2500 0.2500 0.2500
# - Polymorph energy (0 for the lowest one): 402.3 meV/atom

=====

(4)
The following is a DFT calculation (PBE) of crystalline Tl7Hg4As at its relaxed geometry.

Cell and atoms, written as CIF:
```
data_Tl7Hg4As
_chemical_formula_sum 'Tl14 Hg8 As2'
_cell_length_a 17.6315
_cell_length_b 5.3760
_cell_length_c 8.6521
_cell_angle_alpha 90.00
_cell_angle_beta 115.86
_cell_angle_gamma 90.00
_symmetry_space_group_name_H-M 'C 1 2/m 1'
_symmetry_Int_Tables_number 12
loop_
_symmetry_equiv_pos_as_xyz
'x,y,z'
'-x,-y,-z'
'-x,y,-z'
'x,-y,z'
'x+1/2,y+1/2,z'
'-x+1/2,-y+1/2,-z'
'-x+1/2,y+1/2,-z'
'x+1/2,-y+1/2,z'
loop_
_atom_site_label
_atom_site_fract_x
_atom_site_fract_y
_atom_site_fract_z
Tl1 0.0000 0.0000 0.0000
Tl2 0.0722 0.5000 0.3936
Tl3 0.1609 0.5000 0.9472
Tl4 0.2118 0.0000 0.5910
Hg1 0.0631 0.0000 0.6986
Hg2 0.2012 0.0000 0.2124
As1 0.0000 0.5000 0.0000
```

=====

Number 1: formation energy from the elements 3 meV per atom. Number 2: formation energy from the elements 250 meV per atom. Number 3: formation energy from the elements 413 meV per atom. Number 4: formation energy from the elements 40 meV per atom.